DFT (PBE-GGA) results for an optimized crystal structure of EuEr2Cd.

Unit cell a=3.5157 b=3.5157 c=35.5041 alpha=90.00 beta=90.00 gamma=120.00
Space group R-3m (No. 166, hexagonal axes)
Asymmetric unit:
1 Eu 0.0000 0.0000 0.0000 (multiplicity 3)
2 Er 0.0000 0.0000 0.0970 (multiplicity 6)
3 Cd 0.0000 0.0000 0.5000 (multiplicity 3)

Calculated values
- spin magnetization (μB per formula unit) = 8.1
- density of states at the Fermi level (states/eV/f.u.) = 5.28
- volume (Å³ per cell) = 380.05
- E (eV per atom) = -4.955
- energy above the lowest structure with this stoichiometry (meV/atom) = 197
- energy of formation from the pure elements (eV/atom) = 0.124